Entry 1:
! Pr2PdO4 | the Open Quantum Materials Database | PBE | optimized geometry; values from VASP
! Total magnetization ... 0.000 μB per formula unit
! Excess energy over the best structure of this formula in the dataset ... 0.002 eV/atom
! Space group ... No. 130
&SYSTEM
  ibrav = 0, nat = 28, ntyp = 3
/
ATOMIC_SPECIES
Pr 140.91 Pr.upf
Pd 106.42 Pd.upf
O 16.00 O.upf
CELL_PARAMETERS angstrom
8.1936 0.0000 0.0000
0.0000 8.1936 0.0000
0.0000 0.0000 6.5119
ATOMIC_POSITIONS angstrom
Pr 0.5776 4.6744 1.6280
Pr 0.5776 7.6161 4.8839
Pr 3.5193 4.6744 4.8839
Pr 3.5193 7.6161 1.6280
Pr 4.6744 0.5776 4.8839
Pr 4.6744 3.5193 1.6280
Pr 7.6161 0.5776 1.6280
Pr 7.6161 3.5193 4.8839
Pd 2.0484 2.0484 0.4218
Pd 2.0484 2.0484 3.6778
Pd 6.1452 6.1452 2.8342
Pd 6.1452 6.1452 6.0901
O 0.0503 1.4799 3.7640
O 0.0503 2.6169 0.5080
O 1.4799 0.0503 0.5080
O 1.4799 4.0465 3.7640
O 2.6169 0.0503 3.7640
O 2.6169 4.0465 0.5080
O 4.0465 1.4799 0.5080
O 4.0465 2.6169 3.7640
O 4.1471 5.5767 2.7479
O 4.1471 6.7137 6.0039
O 5.5767 4.1471 6.0039
O 5.5767 8.1433 2.7479
O 6.7137 4.1471 2.7479
O 6.7137 8.1433 6.0039
O 8.1433 5.5767 6.0039
O 8.1433 6.7137 2.7479

***

Entry 2:
! PrPdO3 | the Open Quantum Materials Database | PBE | optimized geometry; values from VASP
! Total magnetization ... 0.007 μB per formula unit
! VASP energy ... -6.832 eV/atom
! Space group ... No. 62
&SYSTEM
  ibrav = 0, nat = 20, ntyp = 3
/
ATOMIC_SPECIES
Pr 140.91 Pr.upf
Pd 106.42 Pd.upf
O 16.00 O.upf
CELL_PARAMETERS angstrom
5.9510 0.0000 0.0000
0.0000 7.7936 0.0000
0.0000 0.0000 5.5522
ATOMIC_POSITIONS angstrom
Pr 0.4432 1.9484 0.1301
Pr 2.5323 5.8452 2.9063
Pr 3.4187 1.9484 2.6460
Pr 5.5077 5.8452 5.4221
Pd 0.0000 0.0000 2.7761
Pd 0.0000 3.8968 2.7761
Pd 2.9755 0.0000 0.0000
Pd 2.9755 3.8968 0.0000
O 0.2284 5.8452 2.1428
O 1.1784 4.3093 4.4871
O 1.1784 7.3811 4.4871
O 1.7971 0.4125 1.7110
O 1.7971 3.4843 1.7110
O 2.7471 1.9484 4.9189
O 3.2039 5.8452 0.6334
O 4.1539 4.3093 3.8412
O 4.1539 7.3811 3.8412
O 4.7726 0.4125 1.0651
O 4.7726 3.4843 1.0651
O 5.7226 1.9484 3.4095

***

Entry 3:
! Pd2Pt2O5 | the Open Quantum Materials Database | PBE | optimized geometry; values from VASP
! Total magnetization ... 3.068 μB per formula unit
! Excess energy over the best structure of this formula in the dataset ... 0.000 eV/atom
! Space group ... No. 123
&SYSTEM
  ibrav = 0, nat = 9, ntyp = 3
/
ATOMIC_SPECIES
Pd 106.42 Pd.upf
Pt 195.08 Pt.upf
O 16.00 O.upf
CELL_PARAMETERS angstrom
3.9364 0.0000 0.0000
0.0000 3.9364 0.0000
0.0000 0.0000 6.8103
ATOMIC_POSITIONS angstrom
Pd 0.0000 0.0000 0.0000
Pd 0.0000 0.0000 3.4052
Pt 1.9682 1.9682 1.2956
Pt 1.9682 1.9682 5.5147
O 0.0000 1.9682 1.7048
O 0.0000 1.9682 5.1055
O 1.9682 0.0000 1.7048
O 1.9682 0.0000 5.1055
O 1.9682 1.9682 3.4052

***

Entry 4:
! Pd2Pt2O5 | the Open Quantum Materials Database | PBE | optimized geometry; values from VASP
! Total magnetization ... 1.033 μB per formula unit
! Excess energy over the best structure of this formula in the dataset ... 0.044 eV/atom
! Space group ... No. 123
&SYSTEM
  ibrav = 0, nat = 9, ntyp = 3
/
ATOMIC_SPECIES
Pd 106.42 Pd.upf
Pt 195.08 Pt.upf
O 16.00 O.upf
CELL_PARAMETERS angstrom
3.6011 0.0000 0.0000
0.0000 3.6011 0.0000
0.0000 0.0000 8.5962
ATOMIC_POSITIONS angstrom
Pd 0.0000 0.0000 2.0277
Pd 0.0000 0.0000 6.5685
Pt 1.8006 1.8006 0.0000
Pt 1.8006 1.8006 4.2981
O 0.0000 0.0000 0.0000
O 0.0000 1.8006 3.0976
O 0.0000 1.8006 5.4986
O 1.8006 0.0000 3.0976
O 1.8006 0.0000 5.4986